No. 1
An optimized crystal structure of Cs2TeCl4F2, computed with GGA-PBE.

Output
DOS(E_F) (states/eV per atom): 0.000
Formation energy without anion corrections (eV/atom): -1.694
Magnetic moment (μB/f.u.): 0.00
Final energy (hartree per atom): -0.127
Space group: C2/m

a b c (Å): 7.2020 7.2020 6.1187
angles (deg): 100.18 100.18 63.69
Atoms (fractional coordinates):
Cs: 0.1730 0.1730 0.3215
Cs: 0.8270 0.8270 0.6785
Te: 0.5000 0.5000 0.0000
Cl: 0.1620 0.6528 0.1923
Cl: 0.3472 0.8380 0.8077
Cl: 0.6528 0.1620 0.1923
Cl: 0.8380 0.3472 0.8077
F: 0.3615 0.3615 0.7388
F: 0.6385 0.6385 0.2612

=====

No. 2
An optimized crystal structure of Cs2TeCl2F4, computed with GGA-PBE.

Output
DOS(E_F) (states/eV per atom): 0.000
Formation energy without anion corrections (eV/atom): -2.091
Magnetic moment (μB/f.u.): 0.00
Final energy (hartree per atom): -0.142
Space group: C2/m

a b c (Å): 7.4084 7.4084 5.5545
angles (deg): 92.84 92.84 53.93
Atoms (fractional coordinates):
Cs: 0.1409 0.1409 0.1543
Cs: 0.8591 0.8591 0.8457
Te: 0.5000 0.5000 0.5000
Cl: 0.3182 0.3182 0.6691
Cl: 0.6818 0.6818 0.3309
F: 0.2266 0.6799 0.2638
F: 0.3201 0.7734 0.7362
F: 0.6799 0.2266 0.2638
F: 0.7734 0.3201 0.7362